[1]
First-principles (PBE) data for a relaxed AgHg2Pb2 crystal, as listed in the Alexandria database.

Cell: 7.770 7.770 4.677 Å, 90.00 90.00 90.00°
Space group P4/mbm (No. 127)
Inequivalent atoms, fractional coordinates:
Ag 0.000 0.000 0.000 x2
Hg 0.153 0.347 0.500 x4
Pb 0.156 0.656 0.000 x4

Properties
Crystal system = tetragonal
Calculated formation energy = 13.46 kJ per mole of atoms
E above lowest polymorph = 0.091 eV per atom

---

[2]
First-principles (PBE) data for a relaxed LaZn3Cd crystal, as listed in the Alexandria database.

Cell: 5.873 5.873 5.873 Å, 90.00 90.00 90.00°
Space group Pm-3m (No. 221)
Inequivalent atoms, fractional coordinates:
La 0.000 0.000 0.000 x1
Zn 0.000 0.000 0.500 x3
Cd 0.500 0.500 0.500 x1

Properties
Crystal system = cubic
Calculated formation energy = 79.19 kJ per mole of atoms
E above lowest polymorph = 1.119 eV per atom

---

[3]
First-principles (PBE) data for a relaxed YRu2Se crystal, as listed in the Alexandria database.

Cell: 3.591 4.609 4.631 Å, 90.00 93.61 90.00°
Space group P2/m (No. 10)
Inequivalent atoms, fractional coordinates:
Y 0.000 0.000 0.000 x1
Ru 0.370 0.500 0.749 x2
Se 0.500 0.000 0.500 x1

Properties
Crystal system = monoclinic
E_form (uncorrected) = -0.109 eV/atom

---

[4]
First-principles (PBE) data for a relaxed HfScZnMo2 crystal, as listed in the Alexandria database.

Cell: 4.778 4.778 5.152 Å, 90.00 90.00 90.00°
Space group P4/mmm (No. 123)
Inequivalent atoms, fractional coordinates:
Hf 0.000 0.000 0.000 x1
Sc 0.000 0.000 0.500 x1
Zn 0.500 0.500 0.500 x1
Mo 0.000 0.500 0.000 x2

Properties
Crystal system = tetragonal
Calculated formation energy = 151.86 kJ per mole of atoms

---

no.,DFT total energy (eV per cell)
1,-20.348
2,-5.561
3,-28.938
4,-31.352